No. 1
## ErTmZn6 (PBE)

Data for an optimized crystal structure of ErTmZn6.

Results
As for the space-group type: Pmm2, No. 25. As for the crystal system: orthorhombic. The formation energy is -283.3 meV per atom. The calculation puts the energy at -2.36 eV/atom.

Cell lengths 4.6379, 6.5357, 4.6385 Å; angles 90.00, 90.00, 90.00 degrees
Atoms (fractional coordinates):
1 Er 0.0000 0.0000 0.2545
2 Tm 0.5000 0.5000 0.7455
3 Zn 0.0000 0.7495 0.7551
4 Zn 0.0000 0.2505 0.7551
5 Zn 0.5000 0.0000 0.7462
6 Zn 0.5000 0.7495 0.2449
7 Zn 0.0000 0.5000 0.2539
8 Zn 0.5000 0.2505 0.2449

No. 2
## UCdW (PBE)

Data for an optimized crystal structure of UCdW.

Results
As for the space-group type: F-43m, No. 216. As for the crystal system: cubic. The formation energy is 1093.6 meV per atom. The calculation puts the energy at -7.29 eV/atom.

Cell lengths 4.6212, 4.6212, 4.6212 Å; angles 60.00, 60.00, 60.00 degrees
Atoms (fractional coordinates):
1 W 0.2500 0.2500 0.2500
2 Cd 0.0000 0.0000 0.0000
3 U 0.5000 0.5000 0.5000

No. 3
## K3ErCl6 (PBE)

Data for an optimized crystal structure of K3ErCl6.

Results
As for the space-group type: P2_1/c, No. 14. As for the crystal system: monoclinic. The calculation puts the energy at -4.03 eV/atom.

Cell lengths 7.4438, 7.8770, 12.8989 Å; angles 90.00, 124.35, 90.00 degrees
Atoms (fractional coordinates):
1 Cl 0.7541 0.2261 0.4232
2 Cl 0.0973 0.4445 0.7267
3 Cl 0.3381 0.1818 0.0570
4 Cl 0.3381 0.3182 0.5570
5 Cl 0.0973 0.0555 0.2267
6 Cl 0.9027 0.9445 0.7733
7 Cl 0.7541 0.2739 0.9232
8 Cl 0.9027 0.5555 0.2733
9 Cl 0.2459 0.7739 0.5768
10 Cl 0.2459 0.7261 0.0768
11 Cl 0.6619 0.6817 0.4430
12 Cl 0.6619 0.8183 0.9430
13 Er 0.0000 0.5000 0.5000
14 Er 0.0000 0.0000 0.0000
15 K 0.2851 0.0715 0.7566
16 K 0.5000 0.0000 0.5000
17 K 0.7149 0.5715 0.7434
18 K 0.5000 0.5000 0.0000
19 K 0.7149 0.9285 0.2434
20 K 0.2851 0.4285 0.2566

No. 4
## UGePb (PBE)

Data for an optimized crystal structure of UGePb.

Results
As for the space-group type: F-43m, No. 216. As for the crystal system: cubic. The calculation puts the energy at -6.13 eV/atom.

Cell lengths 4.9452, 4.9452, 4.9452 Å; angles 60.00, 60.00, 60.00 degrees
Atoms (fractional coordinates):
1 Pb 0.2500 0.2500 0.2500
2 U 0.7500 0.7500 0.7500
3 Ge 0.0000 0.0000 0.0000

No. 5
## NiCl (PBE)

Data for an optimized crystal structure of NiCl.

Results
As for the space-group type: Fm-3m, No. 225. As for the crystal system: cubic. The calculation puts the energy at -3.62 eV/atom.

Cell lengths 3.4714, 3.4714, 3.4714 Å; angles 60.00, 60.00, 60.00 degrees
Atoms (fractional coordinates):
1 Ni 0.5000 0.5000 0.5000
2 Cl 0.0000 0.0000 0.0000

No. 6
## Cu5Ag4 (PBE)

Data for an optimized crystal structure of Cu5Ag4.

Results
As for the space-group type: C2/m, No. 12. As for the crystal system: monoclinic. The formation energy is 88.3 meV per atom. The calculation puts the energy at -3.23 eV/atom.

Cell lengths 4.9321, 4.9321, 10.5946 Å; angles 111.05, 111.05, 33.24 degrees
Atoms (fractional coordinates):
1 Ag 0.8337 0.8337 0.4264
2 Ag 0.1663 0.1663 0.5736
3 Ag 0.8340 0.8340 0.1233
4 Ag 0.1660 0.1660 0.8767
5 Cu 0.5233 0.5233 0.3381
6 Cu 0.1437 0.1437 0.2078
7 Cu 0.5000 0.5000 0.0000
8 Cu 0.4767 0.4767 0.6619
9 Cu 0.8563 0.8563 0.7922

No. 7
## GePd4Se8 (PBE)

Data for an optimized crystal structure of GePd4Se8.

Results
As for the space-group type: F-43m, No. 216. As for the crystal system: cubic. The calculation puts the energy at -4.32 eV/atom.

Cell lengths 7.5852, 7.5852, 7.5852 Å; angles 60.00, 60.00, 60.00 degrees
Atoms (fractional coordinates):
1 Se 0.1391 0.1391 0.5827
2 Se 0.1523 0.6159 0.6159
3 Se 0.1391 0.5827 0.1391
4 Se 0.5827 0.1391 0.1391
5 Se 0.1391 0.1391 0.1391
6 Se 0.6159 0.6159 0.6159
7 Se 0.6159 0.1523 0.6159
8 Se 0.6159 0.6159 0.1523
9 Ge 0.0000 0.0000 0.0000
10 Pd 0.8613 0.3796 0.3796
11 Pd 0.3796 0.3796 0.3796
12 Pd 0.3796 0.3796 0.8613
13 Pd 0.3796 0.8613 0.3796

No. 8
## Pd15Pb (PBE)

Data for an optimized crystal structure of Pd15Pb.

Results
As for the space-group type: Pmma, No. 51. As for the crystal system: orthorhombic. The calculation puts the energy at -5.10 eV/atom.

Cell lengths 3.9306, 3.9313, 41.8546 Å; angles 90.00, 90.00, 90.00 degrees
Atoms (fractional coordinates):
1 Pd 0.5000 0.5000 0.3829
2 Pd 0.0000 0.5000 0.7110
3 Pd 0.5000 0.5000 0.5703
4 Pd 0.0000 0.0000 0.6641
5 Pd 0.5000 0.0000 0.6172
6 Pd 0.5000 0.5000 0.2890
7 Pd 0.5000 0.5000 0.1936
8 Pd 0.0000 0.0000 0.3828
9 Pd 0.0000 0.5000 0.6172
10 Pd 0.5000 0.0000 0.1456
11 Pd 0.0000 0.0000 0.5702
12 Pd 0.5000 0.0000 0.7110
13 Pd 0.5000 0.5000 0.7588
14 Pd 0.0000 0.0000 0.1936
15 Pd 0.5000 0.0000 0.8064
16 Pd 0.5000 0.0000 0.2412
17 Pd 0.0000 0.5000 0.4298
18 Pd 0.5000 0.5000 0.6640
19 Pd 0.0000 0.5000 0.8064
20 Pd 0.0000 0.0000 0.7580
21 Pd 0.0000 0.0000 0.2890
22 Pd 0.0000 0.5000 0.3359
23 Pd 0.0000 0.5000 0.5234
24 Pd 0.5000 0.0000 0.5234
25 Pd 0.5000 0.5000 0.4766
26 Pd 0.0000 0.5000 0.2419
27 Pd 0.5000 0.5000 0.8544
28 Pd 0.5000 0.0000 0.3360
29 Pd 0.0000 0.0000 0.4766
30 Pd 0.5000 0.0000 0.4297
31 Pb 0.0000 0.0000 0.8597
32 Pb 0.0000 0.5000 0.1402

No. 9
## LiTcSnMo (PBE)

Data for an optimized crystal structure of LiTcSnMo.

Results
As for the space-group type: F-43m, No. 216. As for the crystal system: cubic. The calculation puts the energy at -6.33 eV/atom.

Cell lengths 4.4906, 4.4906, 4.4906 Å; angles 60.00, 60.00, 60.00 degrees
Atoms (fractional coordinates):
1 Sn 0.2500 0.2500 0.2500
2 Tc 0.5000 0.5000 0.5000
3 Li 0.7500 0.7500 0.7500
4 Mo 0.0000 0.0000 0.0000

No. 10
## Ho2SiN2 (PBE)

Data for an optimized crystal structure of Ho2SiN2.

Results
As for the space-group type: Ibam, No. 72. As for the crystal system: orthorhombic. The calculation puts the energy at -7.20 eV/atom.

Cell lengths 6.1918, 6.1918, 6.1918 Å; angles 107.52, 89.84, 134.57 degrees
Atoms (fractional coordinates):
1 N 0.6272 0.9195 0.0378
2 N 0.1272 0.0895 0.7077
3 N 0.3817 0.4195 0.2923
4 N 0.8817 0.5895 0.9622
5 Ho 0.1094 0.4102 0.0108
6 Ho 0.6094 0.5986 0.6992
7 Ho 0.8994 0.9102 0.3008
8 Ho 0.3994 0.0986 0.9892
9 Si 0.0037 0.5037 0.5000
10 Si 0.5037 0.0037 0.5000

No. 11
## HfZr5N6 (PBE)

Data for an optimized crystal structure of HfZr5N6.

Results
As for the space-group type: C2/m, No. 12. As for the crystal system: monoclinic. The calculation puts the energy at -10.25 eV/atom.

Cell lengths 5.6227, 5.6227, 5.6173 Å; angles 99.60, 99.60, 120.03 degrees
Atoms (fractional coordinates):
1 Hf 0.0000 0.0000 0.0000
2 N 0.2446 0.2446 0.7541
3 N 0.9179 0.5921 0.7547
4 N 0.4079 0.0821 0.2453
5 N 0.0821 0.4079 0.2453
6 N 0.5921 0.9179 0.7547
7 N 0.7554 0.7554 0.2459
8 Zr 0.1681 0.8319 0.5000
9 Zr 0.6675 0.3325 0.0000
10 Zr 0.8319 0.1681 0.5000
11 Zr 0.5000 0.5000 0.5000
12 Zr 0.3325 0.6675 0.0000

No. 12
## GdErSi2Ir (PBE)

Data for an optimized crystal structure of GdErSi2Ir.

Results
As for the space-group type: C2/m, No. 12. As for the crystal system: monoclinic. The calculation puts the energy at -6.75 eV/atom.

Cell lengths 5.6204, 5.6204, 10.1186 Å; angles 115.33, 115.33, 44.45 degrees
Atoms (fractional coordinates):
1 Er 0.0064 0.0064 0.8283
2 Er 0.9936 0.9936 0.1717
3 Ir 0.7310 0.7310 0.8473
4 Ir 0.2690 0.2690 0.1527
5 Si 0.3575 0.3575 0.9458
6 Si 0.5105 0.5105 0.3822
7 Si 0.4895 0.4895 0.6178
8 Si 0.6425 0.6425 0.0542
9 Gd 0.8084 0.8084 0.3862
10 Gd 0.1916 0.1916 0.6138

Question: Look up the energy of the tenth one.
Answer: -7.20 eV/atom